# 1
Below is a crystal of Cd5Rh relaxed with PBEsol, with properties calculated at the SCAN level.

Geometry as POSCAR:
```
Cd5Rh
1.0
3.100 0.000 0.000
0.000 3.100 0.000
0.000 0.000 11.914
Cd Rh
5 1
Cartesian
0.000 0.000 0.000
0.000 0.000 4.293
0.000 0.000 7.621
1.550 1.550 2.137
1.550 1.550 9.776
1.550 1.550 5.957
```

Values from the calculation:
- Density: 9.6 g/cm3
- Uncorrected energy: -186.0 eV for the cell shown
- SG: No. 123
- Total magnetic moment: 0.00 μB per formula unit
- Crystal system: tetragonal



# 2
Below is a crystal of Cd5Rh relaxed with PBEsol, with properties calculated at the SCAN level.

Geometry as POSCAR:
```
Cd5Rh
1.0
4.680 0.000 0.000
0.000 1.544 7.760
0.000 -1.544 7.760
Cd Rh
5 1
Cartesian
0.000 0.000 0.000
0.000 0.000 4.785
2.340 0.000 1.665
2.340 0.000 6.707
2.340 0.000 11.835
0.000 0.000 10.166
```

Values from the calculation:
- Density: 9.8 g/cm3
- Uncorrected energy: -186.1 eV for the cell shown
- SG: No. 38
- Total magnetic moment: 0.00 μB per formula unit
- Crystal system: orthorhombic



# 3
Below is a crystal of Cd4Rh relaxed with PBEsol, with properties calculated at the SCAN level.

Geometry as POSCAR:
```
Cd4Rh
1.0
-3.343 3.343 2.019
3.343 -3.343 2.019
3.343 3.343 -2.019
Cd Rh
4 1
Cartesian
1.941 0.677 0.000
2.666 -1.401 2.019
0.677 4.744 0.000
1.401 2.666 2.019
0.000 0.000 2.019
```

Values from the calculation:
- Density: 10.2 g/cm3
- Uncorrected energy: -155.9 eV for the cell shown
- SG: No. 87
- Total magnetic moment: 0.00 μB per formula unit
- Crystal system: tetragonal



# 4
Below is a crystal of Cd5Rh relaxed with PBEsol, with properties calculated at the SCAN level.

Geometry as POSCAR:
```
Cd5Rh
1.0
5.490 -1.513 0.000
5.490 1.513 0.000
-1.991 0.000 6.730
Cd Rh
5 1
Cartesian
0.000 0.000 0.000
-0.794 0.000 4.146
2.026 0.000 4.693
3.558 0.000 1.691
6.587 0.000 2.265
5.863 0.000 6.391
```

Values from the calculation:
- Density: 9.9 g/cm3
- Uncorrected energy: -186.1 eV for the cell shown
- SG: No. 8
- Total magnetic moment: 0.00 μB per formula unit
- Crystal system: monoclinic



# 5
Below is a crystal of Cd7Rh relaxed with PBEsol, with properties calculated at the SCAN level.

Geometry as POSCAR:
```
Cd7Rh
1.0
0.000 4.216 4.216
4.216 0.000 4.216
4.216 4.216 0.000
Cd Rh
7 1
Cartesian
0.000 0.000 0.000
2.108 2.108 0.000
2.108 0.000 2.108
4.216 2.108 2.108
0.000 2.108 2.108
2.108 4.216 2.108
2.108 2.108 4.216
4.216 4.216 4.216
```

Values from the calculation:
- Density: 9.9 g/cm3
- Uncorrected energy: -246.9 eV for the cell shown
- SG: No. 225
- Total magnetic moment: 0.00 μB per formula unit
- Crystal system: cubic



# 6
Below is a crystal of Cd2RuRh relaxed with PBEsol, with properties calculated at the SCAN level.

Geometry as POSCAR:
```
Cd2RuRh
1.0
1.489 -2.341 0.000
1.489 2.341 0.000
0.000 0.000 9.186
Cd Ru Rh
2 1 1
Cartesian
0.000 0.000 2.273
0.000 0.000 6.913
1.489 0.000 4.593
1.489 0.000 0.000
```

Values from the calculation:
- Density: 11.1 g/cm3
- Uncorrected energy: -128.3 eV for the cell shown
- SG: No. 65
- Total magnetic moment: 1.01 μB per formula unit
- Crystal system: orthorhombic



# 7
Below is a crystal of Cd2RuRh relaxed with PBEsol, with properties calculated at the SCAN level.

Geometry as POSCAR:
```
Cd2RuRh
1.0
2.820 0.000 0.000
0.000 2.820 0.000
0.000 0.000 8.184
Cd Ru Rh
2 1 1
Cartesian
0.000 0.000 0.000
1.410 1.410 2.446
1.410 1.410 6.116
0.000 0.000 4.498
```

Values from the calculation:
- Density: 10.9 g/cm3
- Uncorrected energy: -129.2 eV for the cell shown
- SG: No. 99
- Total magnetic moment: 0.00 μB per formula unit
- Crystal system: tetragonal



# 8
Below is a crystal of Cd2RuRh relaxed with PBEsol, with properties calculated at the SCAN level.

Geometry as POSCAR:
```
Cd2RuRh
1.0
4.598 -1.408 0.000
4.598 1.408 0.000
-0.835 0.000 4.904
Cd Ru Rh
2 1 1
Cartesian
2.084 0.000 1.220
6.277 0.000 3.684
-0.418 0.000 2.452
4.598 0.000 0.000
```

Values from the calculation:
- Density: 11.2 g/cm3
- Uncorrected energy: -128.5 eV for the cell shown
- SG: No. 12
- Total magnetic moment: 0.98 μB per formula unit
- Crystal system: monoclinic



# 9
Below is a crystal of CdRu2Rh relaxed with PBEsol, with properties calculated at the SCAN level.

Geometry as POSCAR:
```
CdRu2Rh
1.0
-1.375 2.255 4.833
1.375 -2.255 4.833
1.375 2.255 -4.833
Cd Ru Rh
1 2 1
Cartesian
0.000 0.000 0.000
1.375 0.000 2.666
0.000 2.255 2.167
0.000 0.000 4.833
```

Values from the calculation:
- Density: 11.6 g/cm3
- Uncorrected energy: -132.5 eV for the cell shown
- SG: No. 71
- Total magnetic moment: 0.00 μB per formula unit
- Crystal system: orthorhombic



# 10
Below is a crystal of Cd2SbRh relaxed with PBEsol, with properties calculated at the SCAN level.

Geometry as POSCAR:
```
Cd2SbRh
1.0
3.141 0.000 0.000
0.000 5.220 0.000
-0.204 0.000 4.703
Cd Sb Rh
2 1 1
Cartesian
0.735 0.000 1.132
2.202 0.000 3.571
1.468 2.610 2.351
0.000 2.610 0.000
```

Values from the calculation:
- Density: 9.7 g/cm3
- SG: No. 10
- Raw formation energy: 0.04 eV per atom
- Total magnetic moment: 0.00 μB per formula unit
- Crystal system: monoclinic



# 11
Below is a crystal of CdSb2TeRh relaxed with PBEsol, with properties calculated at the SCAN level.

Geometry as POSCAR:
```
CdSb2TeRh
1.0
5.259 0.000 0.000
0.000 5.259 0.000
0.000 0.000 5.383
Cd Sb Te Rh
1 2 1 1
Cartesian
0.000 0.000 0.000
0.000 2.629 0.000
2.629 0.000 0.000
0.000 0.000 2.692
2.629 2.629 2.692
```

Values from the calculation:
- Density: 6.5 g/cm3
- SG: No. 123
- Raw formation energy: 1.32 eV per atom
- Total magnetic moment: 0.00 μB per formula unit
- Crystal system: tetragonal



# 12
Below is a crystal of Y2CdSbRh relaxed with PBEsol, with properties calculated at the SCAN level.

Geometry as POSCAR:
```
Y2CdSbRh
1.0
5.239 0.000 0.000
0.000 5.239 0.000
0.000 0.000 4.936
Y Cd Sb Rh
2 1 1 1
Cartesian
0.000 2.619 0.000
2.619 0.000 0.000
0.000 0.000 2.468
2.619 2.619 2.468
2.619 2.619 0.000
```

Values from the calculation:
- Density: 6.3 g/cm3
- SG: No. 123
- Raw formation energy: -0.49 eV per atom
- Total magnetic moment: 0.00 μB per formula unit
- Crystal system: tetragonal



# 13
Below is a crystal of CdRh2Se2 relaxed with PBEsol, with properties calculated at the SCAN level.

Geometry as POSCAR:
```
CdRh2Se2
1.0
-1.922 1.922 6.874
1.922 -1.922 6.874
1.922 1.922 -6.874
Cd Rh Se
1 2 2
Cartesian
0.000 0.000 0.000
1.922 0.000 3.437
0.000 1.922 3.437
0.000 0.000 4.955
0.000 0.000 8.792
```

Values from the calculation:
- Density: 7.8 g/cm3
- SG: No. 139
- Raw formation energy: -0.13 eV per atom
- Total magnetic moment: 0.00 μB per formula unit
- Crystal system: tetragonal



# 14
Below is a crystal of CdRh2Se relaxed with PBEsol, with properties calculated at the SCAN level.

Geometry as POSCAR:
```
CdRh2Se
1.0
4.825 -1.523 0.000
4.825 1.523 0.000
-1.355 0.000 4.352
Cd Rh Se
1 2 1
Cartesian
0.000 0.000 0.000
4.459 0.000 2.286
7.049 0.000 0.849
1.539 0.000 2.638
```

Values from the calculation:
- Density: 10.3 g/cm3
- SG: No. 8
- Raw formation energy: -0.03 eV per atom
- Total magnetic moment: 0.00 μB per formula unit
- Crystal system: monoclinic



# 15
Below is a crystal of CdRhSe2 relaxed with PBEsol, with properties calculated at the SCAN level.

Geometry as POSCAR:
```
CdRhSe2
1.0
1.730 0.999 7.651
-1.730 0.999 7.651
0.000 -1.997 7.651
Cd Rh Se
1 1 2
Cartesian
0.000 0.000 0.000
0.000 0.000 17.325
0.000 0.000 5.803
0.000 0.000 10.930
```

Values from the calculation:
- Density: 7.8 g/cm3
- SG: No. 160
- Raw formation energy: -0.19 eV per atom
- Total magnetic moment: 0.00 μB per formula unit
- Crystal system: trigonal



# 16
Below is a crystal of CdRh2Se relaxed with PBEsol, with properties calculated at the SCAN level.

Geometry as POSCAR:
```
CdRh2Se
1.0
2.974 0.000 0.000
0.000 3.685 0.000
0.000 0.000 5.981
Cd Rh Se
1 2 1
Cartesian
0.000 0.000 0.000
0.000 0.000 2.971
1.487 1.843 1.424
1.487 1.843 3.829
```

Values from the calculation:
- Density: 10.1 g/cm3
- SG: No. 25
- Raw formation energy: -0.06 eV per atom
- Total magnetic moment: 0.00 μB per formula unit
- Crystal system: orthorhombic



# 17
Below is a crystal of CdRh2Se relaxed with PBEsol, with properties calculated at the SCAN level.

Geometry as POSCAR:
```
CdRh2Se
1.0
4.483 0.000 0.000
0.000 4.483 0.000
0.000 0.000 3.084
Cd Rh Se
1 2 1
Cartesian
0.000 0.000 0.000
0.000 2.242 1.542
2.242 0.000 1.542
2.242 2.242 0.000
```

Values from the calculation:
- Density: 10.6 g/cm3
- SG: No. 123
- Raw formation energy: 0.04 eV per atom
- Total magnetic moment: 0.00 μB per formula unit
- Crystal system: tetragonal



# 18
Below is a crystal of CdRhSe relaxed with PBEsol, with properties calculated at the SCAN level.

Geometry as POSCAR:
```
CdRhSe
1.0
4.226 0.000 0.000
-2.113 3.660 0.000
0.000 0.000 3.454
Cd Rh Se
1 1 1
Cartesian
0.000 0.000 0.000
0.000 2.440 1.727
2.113 1.220 1.727
```

Values from the calculation:
- Density: 9.1 g/cm3
- SG: No. 187
- Raw formation energy: -0.03 eV per atom
- Total magnetic moment: 0.00 μB per formula unit
- Crystal system: hexagonal



# 19
Below is a crystal of CdRhSe2 relaxed with PBEsol, with properties calculated at the SCAN level.

Geometry as POSCAR:
```
CdRhSe2
1.0
-1.753 2.221 5.326
1.753 -2.221 5.326
1.753 2.221 -5.326
Cd Rh Se
1 1 2
Cartesian
0.000 0.000 0.000
0.000 0.000 5.326
1.753 0.000 3.599
0.000 2.221 1.727
```

Values from the calculation:
- Density: 7.5 g/cm3
- SG: No. 71
- Raw formation energy: -0.27 eV per atom
- Total magnetic moment: 0.00 μB per formula unit
- Crystal system: orthorhombic



# 20
Below is a crystal of CdRh2Se relaxed with PBEsol, with properties calculated at the SCAN level.

Geometry as POSCAR:
```
CdRh2Se
1.0
3.004 0.000 0.000
0.000 3.004 0.000
0.000 0.000 6.848
Cd Rh Se
1 2 1
Cartesian
0.000 0.000 0.000
1.502 1.502 1.933
1.502 1.502 4.915
0.000 0.000 3.424
```

Values from the calculation:
- Density: 10.7 g/cm3
- SG: No. 123
- Raw formation energy: -0.08 eV per atom
- Total magnetic moment: 0.00 μB per formula unit
- Crystal system: tetragonal



# 21
Below is a crystal of Cd2RhSe relaxed with PBEsol, with properties calculated at the SCAN level.

Geometry as POSCAR:
```
Cd2RhSe
1.0
3.068 0.000 0.000
0.000 4.987 0.000
-0.016 0.000 4.702
Cd Rh Se
2 1 1
Cartesian
0.752 0.000 1.144
2.300 0.000 3.559
1.534 2.494 0.000
-0.008 2.494 2.351
```

Values from the calculation:
- Density: 9.4 g/cm3
- SG: No. 10
- Raw formation energy: 0.14 eV per atom
- Total magnetic moment: 0.00 μB per formula unit
- Crystal system: monoclinic



# 22
Below is a crystal of Cd2SiRh2 relaxed with PBEsol, with properties calculated at the SCAN level.

Geometry as POSCAR:
```
Cd2SiRh2
1.0
6.071 0.000 0.000
0.000 6.071 0.000
0.000 0.000 4.435
Cd Si Rh
4 2 4
Cartesian
0.981 2.055 0.000
2.055 5.090 0.000
4.016 0.981 0.000
5.090 4.016 0.000
0.000 0.000 2.217
3.035 3.035 2.217
0.931 3.966 2.217
2.104 0.931 2.217
3.966 5.140 2.217
5.140 2.104 2.217
```

Values from the calculation:
- Density: 9.3 g/cm3
- SG: No. 127
- Raw formation energy: -0.45 eV per atom
- Total magnetic moment: 0.00 μB per formula unit
- Crystal system: tetragonal



# 23
Below is a crystal of Sm2CdRh2 relaxed with PBEsol, with properties calculated at the SCAN level.

Geometry as POSCAR:
```
Sm2CdRh2
1.0
7.405 0.000 0.000
0.000 7.405 0.000
0.000 0.000 3.826
Sm Cd Rh
4 2 4
Cartesian
1.243 2.459 0.000
2.459 6.162 0.000
4.946 1.243 0.000
6.162 4.946 0.000
0.000 0.000 1.913
3.702 3.702 1.913
0.993 4.696 1.913
2.709 0.993 1.913
4.696 6.412 1.913
6.412 2.709 1.913
```

Values from the calculation:
- Density: 9.8 g/cm3
- Uncorrected energy: -380.8 eV for the cell shown
- SG: No. 127
- Total magnetic moment: 0.00 μB per formula unit
- Crystal system: tetragonal



# 24
Below is a crystal of CdSnRh2 relaxed with PBEsol, with properties calculated at the SCAN level.

Geometry as POSCAR:
```
CdSnRh2
1.0
0.000 3.175 3.175
3.175 0.000 3.175
3.175 3.175 0.000
Cd Sn Rh
1 1 2
Cartesian
0.000 0.000 0.000
3.175 3.175 3.175
1.587 1.587 1.587
4.762 4.762 4.762
```

Values from the calculation:
- Density: 11.3 g/cm3
- Uncorrected energy: -135.2 eV for the cell shown
- SG: No. 225
- Total magnetic moment: 0.11 μB per formula unit
- Crystal system: cubic



# 25
Below is a crystal of SrCd2Rh relaxed with PBEsol, with properties calculated at the SCAN level.

Geometry as POSCAR:
```
SrCd2Rh
1.0
3.245 0.000 0.000
0.000 3.831 0.000
0.000 0.000 6.943
Sr Cd Rh
1 2 1
Cartesian
0.000 0.000 0.000
1.623 1.916 2.115
1.623 1.916 4.827
0.000 0.000 3.471
```

Values from the calculation:
- Density: 8.0 g/cm3
- Uncorrected energy: -117.5 eV for the cell shown
- SG: No. 47
- Total magnetic moment: 0.00 μB per formula unit
- Crystal system: orthorhombic



# 26
Below is a crystal of SrCd2Rh relaxed with PBEsol, with properties calculated at the SCAN level.

Geometry as POSCAR:
```
SrCd2Rh
1.0
2.323 1.341 5.284
-2.323 1.341 5.284
0.000 -2.683 5.284
Sr Cd Rh
1 2 1
Cartesian
0.000 0.000 0.000
0.000 0.000 8.419
0.000 0.000 12.650
0.000 0.000 3.019
```

Values from the calculation:
- Density: 7.0 g/cm3
- Uncorrected energy: -118.0 eV for the cell shown
- SG: No. 160
- Total magnetic moment: 0.00 μB per formula unit
- Crystal system: trigonal



# 27
Below is a crystal of SrCd2Rh relaxed with PBEsol, with properties calculated at the SCAN level.

Geometry as POSCAR:
```
SrCd2Rh
1.0
2.881 -5.334 0.000
2.881 5.334 0.000
-1.654 0.000 2.793
Sr Cd Rh
1 2 1
Cartesian
0.000 0.000 0.000
0.613 2.667 1.396
0.613 -2.667 1.396
2.881 0.000 0.000
```

Values from the calculation:
- Density: 8.0 g/cm3
- Uncorrected energy: -116.5 eV for the cell shown
- SG: No. 12
- Total magnetic moment: 0.00 μB per formula unit
- Crystal system: monoclinic



# 28
Below is a crystal of SrCd2Rh relaxed with PBEsol, with properties calculated at the SCAN level.

Geometry as POSCAR:
```
SrCd2Rh
1.0
2.889 -4.407 0.000
2.889 4.407 0.000
0.000 0.000 3.315
Sr Cd Rh
1 2 1
Cartesian
0.000 0.000 0.000
1.445 2.203 1.657
1.445 -2.203 1.657
2.889 0.000 0.000
```

Values from the calculation:
- Density: 8.2 g/cm3
- Uncorrected energy: -116.4 eV for the cell shown
- SG: No. 65
- Total magnetic moment: 0.00 μB per formula unit
- Crystal system: orthorhombic



# 29
Below is a crystal of SrCdTcRh2 relaxed with PBEsol, with properties calculated at the SCAN level.

Geometry as POSCAR:
```
SrCdTcRh2
1.0
4.663 0.000 0.000
0.000 4.663 0.000
0.000 0.000 5.150
Sr Cd Tc Rh
1 1 1 2
Cartesian
0.000 0.000 0.000
2.332 2.332 0.000
2.332 2.332 2.575
0.000 2.332 2.575
2.332 0.000 2.575
```

Values from the calculation:
- Density: 7.5 g/cm3
- Uncorrected energy: -153.4 eV for the cell shown
- SG: No. 123
- Total magnetic moment: 0.00 μB per formula unit
- Crystal system: tetragonal